# 1
Entry from the Alexandria database: an optimized crystal structure of La4Pr3Mg2 (PBE).

a b c (Å): 11.459 5.085 10.884
angles (deg): 90.00 108.49 90.00
Space group C2/m (No. 12)
Unique sites:
La  0.006  0.000  0.173 (multiplicity 4)
La  0.167  0.500  0.390 (multiplicity 4)
Pr  0.000  0.000  0.500 (multiplicity 2)
Pr  0.168  0.500  0.052 (multiplicity 4)
Mg  0.166  0.500  0.721 (multiplicity 4)

Results
- E_tot: -4.15 eV/atom
- Magnetic moment: 0.00 μB/f.u.
- Density of states at the Fermi level: 1.337 states/eV/atom

***

# 2
Entry from the Alexandria database: an optimized crystal structure of La3Pr7Mg (PBE).

a b c (Å): 3.656 26.590 16.125
angles (deg): 90.00 90.00 90.00
Space group Cmcm (No. 63)
Unique sites:
La  0.000  0.143  0.032 (multiplicity 8)
La  0.000  0.181  0.750 (multiplicity 4)
Pr  0.000  0.261  0.098 (multiplicity 8)
Pr  0.000  0.341  0.750 (multiplicity 4)
Pr  0.000  0.419  0.140 (multiplicity 8)
Pr  0.000  0.457  0.583 (multiplicity 8)
Mg  0.000  0.012  0.250 (multiplicity 4)

Results
- E_tot: -4.41 eV/atom
- Magnetic moment: 0.00 μB/f.u.
- Energy above the lowest structure with this stoichiometry: 0 meV per atom
- Density of states at the Fermi level: 1.208 states/eV/atom

***

# 3
Entry from the Alexandria database: an optimized crystal structure of LaPr5Mg4 (PBE).

a b c (Å): 3.876 3.876 20.924
angles (deg): 90.00 90.00 90.00
Space group P4/mmm (No. 123)
Unique sites:
La  0.000  0.000  0.000 (multiplicity 1)
Pr  0.500  0.500  0.121 (multiplicity 2)
Pr  0.500  0.500  0.311 (multiplicity 2)
Pr  0.500  0.500  0.500 (multiplicity 1)
Mg  0.000  0.000  0.216 (multiplicity 2)
Mg  0.000  0.000  0.405 (multiplicity 2)

Results
- E_tot: -3.60 eV/atom
- Magnetic moment: 0.00 μB/f.u.
- Density of states at the Fermi level: 1.156 states/eV/atom

***

# 4
Entry from the Alexandria database: an optimized crystal structure of La5Pr2Mg2 (PBE).

a b c (Å): 15.623 10.037 7.946
angles (deg): 90.00 90.00 90.00
Space group Ima2 (No. 46)
Unique sites:
La  0.051  0.204  0.000 (multiplicity 8)
La  0.142  0.676  0.636 (multiplicity 8)
La  0.250  0.199  0.157 (multiplicity 4)
Pr  0.124  0.512  0.248 (multiplicity 8)
Mg  0.000  0.000  0.367 (multiplicity 4)
Mg  0.250  0.535  0.940 (multiplicity 4)

Results
- E_tot: -3.98 eV/atom
- Magnetic moment: 0.00 μB/f.u.
- Density of states at the Fermi level: 1.303 states/eV/atom

***

# 5
Entry from the Alexandria database: an optimized crystal structure of La3Pr2Mg2 (PBE).

a b c (Å): 3.908 31.613 3.820
angles (deg): 90.00 90.00 90.00
Space group Cmmm (No. 65)
Unique sites:
La  0.000  0.000  0.000 (multiplicity 2)
La  0.000  0.419  0.500 (multiplicity 4)
Pr  0.000  0.295  0.500 (multiplicity 4)
Mg  0.000  0.144  0.000 (multiplicity 4)

Results
- E_tot: -3.91 eV/atom
- Magnetic moment: 0.00 μB/f.u.
- Density of states at the Fermi level: 1.203 states/eV/atom

***

# 6
Entry from the Alexandria database: an optimized crystal structure of La3Pr6Mg (PBE).

a b c (Å): 10.853 12.199 5.447
angles (deg): 90.00 90.00 90.00
Space group Pnnm (No. 58)
Unique sites:
La  0.000  0.000  0.000 (multiplicity 2)
La  0.120  0.219  0.500 (multiplicity 4)
Pr  0.072  0.747  0.000 (multiplicity 4)
Pr  0.174  0.579  0.500 (multiplicity 4)
Pr  0.218  0.886  0.500 (multiplicity 4)
Mg  0.000  0.500  0.000 (multiplicity 2)

Results
- E_tot: -4.42 eV/atom
- Magnetic moment: 0.00 μB/f.u.
- Energy above the lowest structure with this stoichiometry: 0 meV per atom
- Density of states at the Fermi level: 1.403 states/eV/atom

***

# 7
Entry from the Alexandria database: an optimized crystal structure of La4PrMg5 (PBE).

a b c (Å): 3.953 3.953 19.781
angles (deg): 90.00 90.00 90.00
Space group P4/mmm (No. 123)
Unique sites:
La  0.000  0.000  0.101 (multiplicity 2)
La  0.000  0.000  0.302 (multiplicity 2)
Pr  0.000  0.000  0.500 (multiplicity 1)
Mg  0.500  0.500  0.000 (multiplicity 1)
Mg  0.500  0.500  0.201 (multiplicity 2)
Mg  0.500  0.500  0.403 (multiplicity 2)

Results
- E_tot: -3.36 eV/atom
- Magnetic moment: 0.00 μB/f.u.
- Density of states at the Fermi level: 1.149 states/eV/atom

***

# 8
Entry from the Alexandria database: an optimized crystal structure of La6PrMg (PBE).

a b c (Å): 5.997 5.997 15.712
angles (deg): 90.00 90.00 90.00
Space group I4/mmm (No. 139)
Unique sites:
La  0.000  0.000  0.240 (multiplicity 4)
La  0.000  0.500  0.114 (multiplicity 8)
Pr  0.000  0.000  0.000 (multiplicity 2)
Mg  0.000  0.000  0.500 (multiplicity 2)

Results
- E_tot: -4.45 eV/atom
- Magnetic moment: 0.00 μB/f.u.
- Energy above the lowest structure with this stoichiometry: 55 meV per atom
- Density of states at the Fermi level: 1.594 states/eV/atom

***

# 9
Entry from the Alexandria database: an optimized crystal structure of La6Pr5Mg2 (PBE).

a b c (Å): 10.869 23.532 3.625
angles (deg): 90.00 90.00 90.00
Space group Pbam (No. 55)
Unique sites:
La  0.017  0.113  0.000 (multiplicity 4)
La  0.148  0.383  0.000 (multiplicity 4)
La  0.168  0.634  0.500 (multiplicity 4)
Pr  0.000  0.500  0.500 (multiplicity 2)
Pr  0.083  0.248  0.500 (multiplicity 4)
Pr  0.168  0.995  0.500 (multiplicity 4)
Mg  0.167  0.761  0.000 (multiplicity 4)

Results
- E_tot: -4.26 eV/atom
- Magnetic moment: 0.00 μB/f.u.
- Density of states at the Fermi level: 1.584 states/eV/atom

***

# 10
Entry from the Alexandria database: an optimized crystal structure of La5Pr8Mg (PBE).

a b c (Å): 14.764 8.907 9.674
angles (deg): 90.00 127.50 90.00
Space group C2 (No. 5)
Unique sites:
La  0.000  0.000  0.000 (multiplicity 2)
La  0.042  0.642  0.860 (multiplicity 4)
La  0.101  0.320  0.259 (multiplicity 4)
Pr  0.048  0.940  0.386 (multiplicity 4)
Pr  0.168  0.582  0.632 (multiplicity 4)
Pr  0.206  0.327  0.983 (multiplicity 4)
Pr  0.231  0.674  0.310 (multiplicity 4)
Mg  0.000  0.279  0.500 (multiplicity 2)

Results
- E_tot: -4.45 eV/atom
- Magnetic moment: 0.00 μB/f.u.
- Density of states at the Fermi level: 1.560 states/eV/atom

***

# 11
Entry from the Alexandria database: an optimized crystal structure of LaPr3Mg6 (PBE).

a b c (Å): 9.563 5.421 11.570
angles (deg): 90.00 105.78 90.00
Space group P2_1/m (No. 11)
Unique sites:
La  0.053  0.250  0.392 (multiplicity 2)
Pr  0.242  0.250  0.996 (multiplicity 2)
Pr  0.351  0.750  0.793 (multiplicity 2)
Pr  0.462  0.250  0.607 (multiplicity 2)
Mg  0.049  0.750  0.904 (multiplicity 2)
Mg  0.143  0.250  0.700 (multiplicity 2)
Mg  0.146  0.750  0.194 (multiplicity 2)
Mg  0.245  0.750  0.489 (multiplicity 2)
Mg  0.339  0.250  0.292 (multiplicity 2)
Mg  0.441  0.750  0.097 (multiplicity 2)

Results
- E_tot: -2.98 eV/atom
- Magnetic moment: 0.00 μB/f.u.
- Density of states at the Fermi level: 0.922 states/eV/atom

***

# 12
Entry from the Alexandria database: an optimized crystal structure of La2Pr4Mg (PBE).

a b c (Å): 6.081 6.843 12.004
angles (deg): 90.00 103.60 90.00
Space group P2_1/m (No. 11)
Unique sites:
La  0.051  0.250  0.486 (multiplicity 2)
La  0.348  0.750  0.069 (multiplicity 2)
Pr  0.137  0.005  0.781 (multiplicity 4)
Pr  0.205  0.250  0.060 (multiplicity 2)
Pr  0.399  0.750  0.380 (multiplicity 2)
Mg  0.463  0.250  0.330 (multiplicity 2)

Results
- E_tot: -4.31 eV/atom
- Magnetic moment: 0.00 μB/f.u.
- Energy above the lowest structure with this stoichiometry: 0 meV per atom
- Density of states at the Fermi level: 1.501 states/eV/atom

***

Which value of E_tot does entry 12 give?
-4.31 eV/atom

***

Please write out number 12 again, unchanged.
Entry from the Alexandria database: an optimized crystal structure of La2Pr4Mg (PBE).

a b c (Å): 6.081 6.843 12.004
angles (deg): 90.00 103.60 90.00
Space group P2_1/m (No. 11)
Unique sites:
La  0.051  0.250  0.486 (multiplicity 2)
La  0.348  0.750  0.069 (multiplicity 2)
Pr  0.137  0.005  0.781 (multiplicity 4)
Pr  0.205  0.250  0.060 (multiplicity 2)
Pr  0.399  0.750  0.380 (multiplicity 2)
Mg  0.463  0.250  0.330 (multiplicity 2)

Results
- E_tot: -4.31 eV/atom
- Magnetic moment: 0.00 μB/f.u.
- Energy above the lowest structure with this stoichiometry: 0 meV per atom
- Density of states at the Fermi level: 1.501 states/eV/atom

***

Which formula does entry 7 have?
La4PrMg5